# 1
The following is a PBE calculation of a geometry-optimized TaPd2Cl structure, from Alexandria.

Values from the calculation:
E = -5.652 eV/atom
offset from the most stable computed form = 1 kJ/mol of formula units
SG = Fm-3m (225)
ρ = 10.4 g/cm3
volume = 17.156 A^3/atom
raw formation energy = 369 meV/atom
crystal system = cubic

Cell: 4.595 4.595 4.595 Å, 60.00 60.00 60.00°
Sites, in units of the cell vectors:
1 Cl 0.000 0.000 0.000
2 Pd 0.250 0.250 0.250
3 Pd 0.750 0.750 0.750
4 Ta 0.500 0.500 0.500

***

# 2
The following is a PBE calculation of a geometry-optimized EuTlCuAg structure, from Alexandria.

Values from the calculation:
E = -4.974 eV/atom
DFT formation energy = -0.08 eV per atom
SG = F-43m (216)
ρ = 9.7 g/cm3
volume = 22.679 A^3/atom
crystal system = cubic

Cell: 5.044 5.044 5.044 Å, 60.00 60.00 60.00°
Sites, in units of the cell vectors:
1 Eu 0.500 0.500 0.500
2 Tl 0.000 0.000 0.000
3 Cu 0.250 0.250 0.250
4 Ag 0.750 0.750 0.750

***

# 3
The following is a PBE calculation of a geometry-optimized Ca2ErIn3 structure, from Alexandria.

Values from the calculation:
E = -3.245 eV/atom
offset from the most stable computed form = 6 kJ/mol of formula units
DFT formation energy = -0.45 eV per atom
SG = Cmmm (65)
ρ = 5.9 g/cm3
volume = 27.681 A^3/atom
crystal system = orthorhombic

Cell: 8.507 8.507 7.658 Å, 90.00 90.00 143.18°
Sites, in units of the cell vectors:
1 Ca 0.000 0.000 0.000
2 Ca 0.000 0.000 0.500
3 Ca 0.336 0.664 0.500
4 Ca 0.664 0.336 0.500
5 Er 0.335 0.665 0.000
6 Er 0.665 0.335 0.000
7 In 0.830 0.170 0.757
8 In 0.500 0.500 0.244
9 In 0.170 0.830 0.243
10 In 0.830 0.170 0.243
11 In 0.170 0.830 0.757
12 In 0.500 0.500 0.756

***

# 4
The following is a PBE calculation of a geometry-optimized CsCu2Sn structure, from Alexandria.

Values from the calculation:
E = -3.029 eV/atom
DFT formation energy = 0.23 eV per atom
SG = I4_1/amd (141)
ρ = 4.7 g/cm3
volume = 33.585 A^3/atom
crystal system = tetragonal

Cell: 5.642 5.642 9.335 Å, 72.41 72.41 90.00°
Sites, in units of the cell vectors:
1 Cs 0.000 0.000 0.000
2 Cs 0.750 0.250 0.500
3 Sn 0.500 0.500 0.000
4 Sn 0.250 0.750 0.500
5 Cu 0.375 0.125 0.250
6 Cu 0.375 0.625 0.250
7 Cu 0.375 0.625 0.750
8 Cu 0.875 0.625 0.750

***

# 5
The following is a PBE calculation of a geometry-optimized AgOsCl5 structure, from Alexandria.

Values from the calculation:
E = -3.684 eV/atom
SG = C2/c (15)
ρ = 4.1 g/cm3
volume = 27.250 A^3/atom
raw formation energy = -354 meV/atom
crystal system = monoclinic

Cell: 7.434 7.434 8.871 Å, 73.60 73.60 55.18°
Sites, in units of the cell vectors:
1 Ag 0.487 0.513 0.750
2 Ag 0.513 0.487 0.250
3 Os 0.000 0.000 0.000
4 Os 0.000 0.000 0.500
5 Cl 0.314 0.002 0.883
6 Cl 0.388 0.807 0.507
7 Cl 0.002 0.314 0.383
8 Cl 0.869 0.131 0.750
9 Cl 0.193 0.612 0.993
10 Cl 0.807 0.388 0.007
11 Cl 0.131 0.869 0.250
12 Cl 0.998 0.686 0.617
13 Cl 0.612 0.193 0.493
14 Cl 0.686 0.998 0.117

***

# 6
The following is a PBE calculation of a geometry-optimized AlReSe3 structure, from Alexandria.

Values from the calculation:
E = -4.341 eV/atom
offset from the most stable computed form = 251 kJ/mol of formula units
SG = Pm-3m (221)
ρ = 6.6 g/cm3
volume = 22.576 A^3/atom
raw formation energy = 988 meV/atom
crystal system = cubic

Cell: 4.833 4.833 4.833 Å, 90.00 90.00 90.00°
Sites, in units of the cell vectors:
1 Re 0.500 0.500 0.500
2 Al 0.000 0.000 0.000
3 Se 0.000 0.500 0.000
4 Se 0.000 0.000 0.500
5 Se 0.500 0.000 0.000

***

# 7
The following is a PBE calculation of a geometry-optimized AlCdRe2 structure, from Alexandria.

Values from the calculation:
E = -6.851 eV/atom
offset from the most stable computed form = 164 kJ/mol of formula units
DFT formation energy = 0.54 eV per atom
SG = I4/mmm (139)
ρ = 13.2 g/cm3
volume = 16.105 A^3/atom
crystal system = tetragonal

Cell: 5.108 5.108 5.108 Å, 135.57 135.57 64.65°
Sites, in units of the cell vectors:
1 Re 0.000 0.000 0.000
2 Re 0.500 0.500 0.000
3 Al 0.250 0.750 0.500
4 Cd 0.750 0.250 0.500

***

# 8
The following is a PBE calculation of a geometry-optimized Li3Cu4Ge structure, from Alexandria.

Values from the calculation:
E = -3.357 eV/atom
DFT formation energy = -0.01 eV per atom
SG = Imm2 (44)
ρ = 5.5 g/cm3
volume = 13.223 A^3/atom
crystal system = orthorhombic

Cell: 5.557 5.557 5.557 Å, 78.17 128.18 125.94°
Sites, in units of the cell vectors:
1 Li 0.594 0.252 0.847
2 Li 0.835 0.000 0.835
3 Li 0.594 0.748 0.342
4 Cu 0.105 0.755 0.860
5 Cu 0.105 0.245 0.350
6 Cu 0.559 0.245 0.313
7 Cu 0.068 0.755 0.313
8 Ge 0.291 0.500 0.791

***

# 9
The following is a PBE calculation of a geometry-optimized Mg2VBSb structure, from Alexandria.

Values from the calculation:
E = -3.781 eV/atom
SG = P4/mmm (123)
ρ = 4.1 g/cm3
volume = 18.944 A^3/atom
raw formation energy = 841 meV/atom
crystal system = tetragonal

Cell: 4.303 5.116 4.303 Å, 90.00 90.00 90.00°
Sites, in units of the cell vectors:
1 Sb 0.000 0.500 0.000
2 Mg 0.000 0.000 0.500
3 Mg 0.500 0.000 0.000
4 B 0.000 0.000 0.000
5 V 0.500 0.500 0.500

***

# 10
The following is a PBE calculation of a geometry-optimized Tl2B2W structure, from Alexandria.

Values from the calculation:
E = -5.087 eV/atom
DFT formation energy = 1.12 eV per atom
SG = P4/mbm (127)
ρ = 11.3 g/cm3
volume = 18.004 A^3/atom
crystal system = tetragonal

Cell: 6.266 6.266 4.585 Å, 90.00 90.00 90.00°
Sites, in units of the cell vectors:
1 Tl 0.164 0.664 0.500
2 Tl 0.664 0.836 0.500
3 Tl 0.836 0.336 0.500
4 Tl 0.336 0.164 0.500
5 B 0.255 0.755 0.000
6 B 0.755 0.745 0.000
7 B 0.745 0.245 0.000
8 B 0.245 0.255 0.000
9 W 0.000 0.000 0.000
10 W 0.500 0.500 0.000

***

# 11
The following is a PBE calculation of a geometry-optimized LiSi2Se structure, from Alexandria.

Values from the calculation:
E = -3.847 eV/atom
SG = Pmmm (47)
ρ = 3.3 g/cm3
volume = 17.618 A^3/atom
raw formation energy = 214 meV/atom
crystal system = orthorhombic

Cell: 3.513 4.045 4.960 Å, 90.00 90.00 90.00°
Sites, in units of the cell vectors:
1 Li 0.500 0.500 0.250
2 Se 0.500 0.500 0.750
3 Si 0.000 0.000 0.998
4 Si 0.000 0.000 0.502

***

# 12
The following is a PBE calculation of a geometry-optimized Ca3Ga3Ir structure, from Alexandria.

Values from the calculation:
E = -3.949 eV/atom
DFT formation energy = -0.53 eV per atom
SG = C2/m (12)
ρ = 5.2 g/cm3
volume = 23.874 A^3/atom
crystal system = monoclinic

Cell: 4.238 5.949 14.370 Å, 83.98 81.52 69.13°
Sites, in units of the cell vectors:
1 Ca 0.518 0.350 0.615
2 Ca 0.482 0.650 0.385
3 Ca 0.254 0.254 0.238
4 Ca 0.746 0.746 0.762
5 Ca 0.388 0.302 0.922
6 Ca 0.612 0.698 0.078
7 Ga 0.832 0.797 0.538
8 Ga 0.168 0.203 0.462
9 Ga 0.102 0.873 0.923
10 Ga 0.898 0.127 0.077
11 Ga 0.961 0.844 0.235
12 Ga 0.039 0.156 0.765
13 Ir 0.770 0.075 0.385
14 Ir 0.230 0.925 0.615

***

# 13
The following is a PBE calculation of a geometry-optimized GdHoZrSc structure, from Alexandria.

Values from the calculation:
E = -8.201 eV/atom
DFT formation energy = 0.18 eV per atom
SG = F-43m (216)
ρ = 7.0 g/cm3
volume = 27.193 A^3/atom
crystal system = cubic

Cell: 5.358 5.358 5.358 Å, 60.00 60.00 60.00°
Sites, in units of the cell vectors:
1 Sc 0.000 0.000 0.000
2 Gd 0.250 0.250 0.250
3 Ho 0.500 0.500 0.500
4 Zr 0.750 0.750 0.750